a) {
  "formula": "KHf2AlTc",
  "functional": "PBE",
  "state": "relaxed",
  "m_tot_mub_per_cell": 1.9,
  "cell": [[4.6904, 0.0000, 0.0000], [0.0000, 4.8739, 0.0000], [0.0000, 0.0000, 4.6904]],
  "species": ["K", "Tc", "Hf", "Hf", "Al"],
  "frac_coords": [[0.0000, 0.0000, 0.0000], [0.5000, 0.5000, 0.5000], [0.5000, 0.0000, 0.0000], [0.0000, 0.0000, 0.5000], [0.0000, 0.5000, 0.0000]]
}

b) {
  "formula": "KHf2AlTc",
  "functional": "PBE",
  "state": "relaxed",
  "m_tot_mub_per_cell": 0.0,
  "cell": [[-2.6907, -3.3031, -2.7148], [0.3488, -3.3942, 3.7841], [-4.2616, 1.8125, 2.0185]],
  "species": ["K", "Tc", "Al", "Hf", "Hf"],
  "frac_coords": [[0.5000, 0.5000, 0.5000], [0.0000, 0.0000, 0.0000], [0.0000, 0.5000, 0.0000], [0.5000, 0.0000, 0.0000], [0.0000, 0.0000, 0.5000]]
}

The most stable arrangement is b), and the next structure is 1996 meV/atom less stable.

a) {
  "formula": "LaHf3Al",
  "functional": "PBE",
  "state": "relaxed",
  "m_tot_mub_per_cell": 0.0,
  "cell": [[5.1091, 0.0000, 0.0000], [0.0000, 5.1091, 0.0000], [0.0000, 0.0000, 5.1091]],
  "species": ["Hf", "Hf", "Hf", "La", "Al"],
  "frac_coords": [[0.0000, 0.0000, 0.5000], [0.5000, 0.0000, 0.0000], [0.0000, 0.5000, 0.0000], [0.0000, 0.0000, 0.0000], [0.5000, 0.5000, 0.5000]]
}

b) {
  "formula": "LaHf3Al",
  "functional": "PBE",
  "state": "relaxed",
  "m_tot_mub_per_cell": 0.0,
  "cell": [[5.1320, 0.0000, 0.0000], [0.0000, 5.1320, 0.0000], [0.0000, 0.0000, 5.1320]],
  "species": ["Al", "La", "Hf", "Hf", "Hf"],
  "frac_coords": [[0.0000, 0.0000, 0.0000], [0.5000, 0.5000, 0.5000], [0.5000, 0.0000, 0.0000], [0.0000, 0.5000, 0.0000], [0.0000, 0.0000, 0.5000]]
}

The most stable arrangement is b), and the next structure is 966 meV/atom less stable.

a) {
  "formula": "LaHf2Al2",
  "functional": "PBE",
  "state": "relaxed",
  "m_tot_mub_per_cell": 0.0,
  "cell": [[8.5539, 0.0000, 0.0000], [0.0000, 8.5539, 0.0000], [0.0000, 0.0000, 3.0392]],
  "species": ["Hf", "Hf", "Hf", "Hf", "Al", "Al", "Al", "Al", "La", "La"],
  "frac_coords": [[0.1245, 0.3755, 0.0000], [0.8755, 0.6245, 0.0000], [0.3755, 0.8755, 0.0000], [0.6245, 0.1245, 0.0000], [0.1697, 0.6697, 0.5000], [0.8303, 0.3303, 0.5000], [0.3303, 0.1697, 0.5000], [0.6697, 0.8303, 0.5000], [0.0000, 0.0000, 0.0000], [0.5000, 0.5000, 0.0000]]
}

b) {
  "formula": "LaHf2Al2",
  "functional": "PBE",
  "state": "relaxed",
  "m_tot_mub_per_cell": 0.0,
  "cell": [[-3.8079, 0.5797, 2.2939], [0.2778, -4.2068, 1.5243], [1.4542, 0.1551, 6.7556]],
  "species": ["Hf", "Hf", "Al", "Al", "La"],
  "frac_coords": [[0.6160, 0.6160, 0.7681], [0.3840, 0.3840, 0.2319], [0.2500, 0.7500, 0.5000], [0.7500, 0.2500, 0.5000], [0.0000, 0.0000, 0.0000]]
}

The most stable arrangement is a), and the next structure is 329 meV/atom less stable.

a) {
  "formula": "LaHfAl3",
  "functional": "PBE",
  "state": "relaxed",
  "m_tot_mub_per_cell": 0.0,
  "cell": [[5.1449, 0.0000, 0.0000], [0.0000, 5.1449, 0.0000], [0.0000, 0.0000, 5.1449]],
  "species": ["Al", "Al", "Al", "Hf", "La"],
  "frac_coords": [[0.0000, 0.0000, 0.5000], [0.5000, 0.0000, 0.0000], [0.0000, 0.5000, 0.0000], [0.0000, 0.0000, 0.0000], [0.5000, 0.5000, 0.5000]]
}

b) {
  "formula": "LaHfAl3",
  "functional": "PBE",
  "state": "relaxed",
  "m_tot_mub_per_cell": 0.0,
  "cell": [[-2.4087, 3.0947, 3.5017], [-4.3989, -0.1714, -2.8743], [-1.5778, -4.2467, 2.6678]],
  "species": ["Al", "Al", "Al", "Hf", "La"],
  "frac_coords": [[0.0000, 0.0000, 0.5000], [0.0000, 0.5000, 0.0000], [0.5000, 0.0000, 0.0000], [0.5000, 0.5000, 0.5000], [0.0000, 0.0000, 0.0000]]
}

The most stable arrangement is a), and the next structure is 1233 meV/atom less stable.

a) {
  "formula": "LiHfAl3",
  "functional": "PBE",
  "state": "relaxed",
  "m_tot_mub_per_cell": 0.0,
  "cell": [[5.2786, 0.0000, 0.0000], [0.0000, 5.2786, 0.0000], [0.0000, 0.0000, 5.2786]],
  "species": ["Li", "Al", "Al", "Al", "Hf"],
  "frac_coords": [[0.5000, 0.5000, 0.5000], [0.5000, 0.0000, 0.0000], [0.0000, 0.5000, 0.0000], [0.0000, 0.0000, 0.5000], [0.0000, 0.0000, 0.0000]]
}

b) {
  "formula": "LiHfAl3",
  "functional": "PBE",
  "state": "relaxed",
  "m_tot_mub_per_cell": 0.0,
  "cell": [[-2.6664, 1.5321, -3.1403], [3.0485, -0.9105, -3.0326], [-1.7076, -4.0177, -0.5103]],
  "species": ["Li", "Hf", "Al", "Al", "Al"],
  "frac_coords": [[0.0000, 0.0000, 0.0000], [0.5000, 0.5000, 0.5000], [0.0000, 0.0000, 0.5000], [0.5000, 0.0000, 0.0000], [0.0000, 0.5000, 0.0000]]
}

The most stable arrangement is b), and the next structure is 446 meV/atom less stable.

a) {
  "formula": "Li3HfAl",
  "functional": "PBE",
  "state": "relaxed",
  "m_tot_mub_per_cell": 2.6,
  "cell": [[5.1499, 0.0000, 0.0000], [0.0000, 5.1499, 0.0000], [0.0000, 0.0000, 5.1499]],
  "species": ["Li", "Li", "Li", "Hf", "Al"],
  "frac_coords": [[0.0000, 0.5000, 0.0000], [0.5000, 0.0000, 0.0000], [0.0000, 0.0000, 0.5000], [0.0000, 0.0000, 0.0000], [0.5000, 0.5000, 0.5000]]
}

b) {
  "formula": "Li3HfAl",
  "functional": "PBE",
  "state": "relaxed",
  "m_tot_mub_per_cell": 0.0,
  "cell": [[-4.1292, 1.7557, 0.5664], [-1.3708, -3.8493, 1.9383], [1.2345, 1.5981, 4.0467]],
  "species": ["Al", "Li", "Li", "Li", "Hf"],
  "frac_coords": [[0.0000, 0.0000, 0.0000], [0.5000, 0.0000, 0.0000], [0.0000, 0.0000, 0.5000], [0.0000, 0.5000, 0.0000], [0.5000, 0.5000, 0.5000]]
}

The most stable arrangement is b), and the next structure is 734 meV/atom less stable.

a) {
  "formula": "HfMgAl3",
  "functional": "PBE",
  "state": "relaxed",
  "m_tot_mub_per_cell": 0.0,
  "cell": [[5.2130, 0.0000, 0.0000], [0.0000, 5.2130, 0.0000], [0.0000, 0.0000, 5.2130]],
  "species": ["Al", "Al", "Al", "Hf", "Mg"],
  "frac_coords": [[0.0000, 0.0000, 0.5000], [0.5000, 0.0000, 0.0000], [0.0000, 0.5000, 0.0000], [0.0000, 0.0000, 0.0000], [0.5000, 0.5000, 0.5000]]
}

b) {
  "formula": "HfMgAl3",
  "functional": "PBE",
  "state": "relaxed",
  "m_tot_mub_per_cell": 0.0,
  "cell": [[4.8097, 0.0000, 0.0000], [0.0000, 4.8097, 0.0000], [0.0000, 0.0000, 4.8097]],
  "species": ["Hf", "Mg", "Al", "Al", "Al"],
  "frac_coords": [[0.5000, 0.5000, 0.5000], [0.0000, 0.0000, 0.0000], [0.5000, 0.0000, 0.0000], [0.0000, 0.0000, 0.5000], [0.0000, 0.5000, 0.0000]]
}

The most stable arrangement is a), and the next structure is 93 meV/atom less stable.

a) {
  "formula": "HfMg6Al",
  "functional": "PBE",
  "state": "relaxed",
  "m_tot_mub_per_cell": 0.0,
  "cell": [[-4.7607, 3.6922, 2.0653], [-0.9931, -4.2290, -4.6574], [-1.1890, -3.4036, 3.3440]],
  "species": ["Mg", "Mg", "Mg", "Mg", "Mg", "Mg", "Al", "Hf"],
  "frac_coords": [[0.3278, 0.1666, 0.5000], [0.6696, 0.3304, 0.0000], [0.6656, 0.8309, 0.0000], [0.1691, 0.3344, 0.0000], [0.8323, 0.1677, 0.5000], [0.8334, 0.6722, 0.5000], [0.1782, 0.8218, 0.0000], [0.3240, 0.6760, 0.5000]]
}

b) {
  "formula": "HfMg6Al",
  "functional": "PBE",
  "state": "relaxed",
  "m_tot_mub_per_cell": 0.0,
  "cell": [[-1.2492, 6.0027, 1.7414], [-2.1127, -5.0650, 3.2415], [4.1654, 0.0545, 2.8000]],
  "species": ["Mg", "Mg", "Mg", "Mg", "Mg", "Mg", "Al", "Hf"],
  "frac_coords": [[0.6782, 0.3218, 0.0000], [0.1697, 0.8303, 0.0000], [0.3284, 0.1721, 0.5000], [0.6652, 0.8268, 0.0000], [0.1732, 0.3348, 0.0000], [0.8279, 0.6716, 0.5000], [0.8316, 0.1684, 0.5000], [0.3257, 0.6743, 0.5000]]
}

The most stable arrangement is b), and the next structure is 9 meV/atom less stable.